# GGA+U Ba3Zn2MoO8, relaxed
data_Ba3Zn2MoO8
_chemical_formula_sum 'Ba3 Zn2 Mo1 O8'
_cell_length_a 5.8153
_cell_length_b 5.8153
_cell_length_c 7.6350
_cell_angle_alpha 90.00
_cell_angle_beta 90.00
_cell_angle_gamma 120.00
_symmetry_space_group_name_H-M 'P -3 m 1'
_symmetry_Int_Tables_number 164
_symmetry_space_group_name_Hall '-P 3 2"'
loop_
_atom_site_label
_atom_site_type_symbol
_atom_site_fract_x
_atom_site_fract_y
_atom_site_fract_z
Ba1 Ba 0.0000 0.0000 0.0000
Ba2 Ba 0.3333 0.6667 0.6588
Zn1 Zn 0.3333 0.6667 0.2134
Mo1 Mo 0.0000 0.0000 0.5000
O1 O 0.1573 0.3145 0.3498
O2 O 0.3333 0.6667 0.9737
# uncorrected energy	-83.4	eV per formula unit
# size of the total moment	0.0	μB per formula unit